1.
First-principles (GGA-PBE) data for a relaxed Pm6PaO12 crystal, as listed in the Alexandria database.

a b c (Å): 6.791 6.791 6.791
angles (deg): 99.20 99.20 99.20
Fractional coordinates of all 19 atoms:
O: 0.822 0.564 0.415
Pm: 0.609 0.306 0.141
O: 0.070 0.945 0.311
Pm: 0.859 0.391 0.694
O: 0.564 0.415 0.822
O: 0.311 0.070 0.945
O: 0.055 0.689 0.930
Pm: 0.306 0.141 0.609
O: 0.930 0.055 0.689
O: 0.436 0.585 0.178
Pm: 0.141 0.609 0.306
Pa: 0.000 0.000 0.000
O: 0.585 0.178 0.436
O: 0.945 0.311 0.070
Pm: 0.391 0.694 0.859
Pm: 0.694 0.859 0.391
O: 0.415 0.822 0.564
O: 0.178 0.436 0.585
O: 0.689 0.930 0.055

## Properties
Formation energy (no corrections): -3399 meV/atom
Calculated volume: 300 Å³ per cell
Electronic total energy: -162.1 eV/cell

---

2.
First-principles (GGA-PBE) data for a relaxed PmPaO2 crystal, as listed in the Alexandria database.

a b c (Å): 3.789 3.789 6.686
angles (deg): 73.54 73.54 60.00
Fractional coordinates of all 4 atoms:
Pm: 0.000 0.000 0.000
O: 0.872 0.872 0.383
Pa: 0.500 0.500 0.500
O: 0.128 0.128 0.617

## Properties
Formation energy (no corrections): -2608 meV/atom
Calculated volume: 79 Å³ per cell
Electronic total energy: -34.6 eV/cell

---

3.
First-principles (GGA-PBE) data for a relaxed PmPaO crystal, as listed in the Alexandria database.

a b c (Å): 3.708 3.708 12.728
angles (deg): 81.62 81.62 60.00
Fractional coordinates of all 6 atoms:
Pm: 0.793 0.793 0.622
Pa: 0.050 0.050 0.850
O: 0.634 0.634 0.097
Pm: 0.207 0.207 0.378
Pa: 0.950 0.950 0.150
O: 0.366 0.366 0.903

## Properties
Formation energy (no corrections): -1418 meV/atom
Calculated volume: 149 Å³ per cell
Electronic total energy: -46.9 eV/cell

---

4.
First-principles (GGA-PBE) data for a relaxed PmPuPaO6 crystal, as listed in the Alexandria database.

a b c (Å): 4.755 5.828 5.828
angles (deg): 120.00 90.00 90.00
Fractional coordinates of all 9 atoms:
Pu: 0.500 0.000 0.000
O: 0.746 0.022 0.339
Pm: 0.500 0.667 0.333
O: 0.746 0.317 0.978
O: 0.746 0.661 0.683
O: 0.254 0.661 0.978
O: 0.254 0.022 0.683
Pa: 0.000 0.333 0.667
O: 0.254 0.317 0.339

## Properties
Formation energy (no corrections): -3245 meV/atom
Calculated volume: 140 Å³ per cell
Electronic total energy: -87.5 eV/cell

---

5.
First-principles (GGA-PBE) data for a relaxed Rb4Pm3PaO8 crystal, as listed in the Alexandria database.

a b c (Å): 7.291 7.856 7.291
angles (deg): 117.65 120.00 90.00
Fractional coordinates of all 16 atoms:
O: 0.216 0.673 0.957
Rb: 0.500 0.000 0.500
O: 0.784 0.327 0.043
Rb: 0.000 0.000 0.500
O: 0.723 0.670 0.447
O: 0.259 0.327 0.043
O: 0.741 0.673 0.957
Pm: 0.000 0.500 0.500
Rb: 0.500 0.000 0.000
Rb: 0.000 0.000 0.000
Pm: 0.500 0.500 0.500
Pm: 0.500 0.500 0.000
O: 0.784 0.327 0.568
O: 0.277 0.330 0.553
O: 0.216 0.673 0.432
Pa: 0.000 0.500 0.000

## Properties
Formation energy (no corrections): -2525 meV/atom
Calculated volume: 305 Å³ per cell
Electronic total energy: -107.7 eV/cell

---

6.
First-principles (GGA-PBE) data for a relaxed Rb2PmPa3O12 crystal, as listed in the Alexandria database.

a b c (Å): 8.163 8.163 8.163
angles (deg): 61.23 61.23 61.23
Fractional coordinates of all 18 atoms:
Rb: 0.670 0.670 0.670
Rb: 0.330 0.330 0.330
O: 0.306 0.952 0.306
O: 0.952 0.306 0.306
O: 0.048 0.694 0.694
Pm: 0.000 0.000 0.000
O: 0.336 0.931 0.931
Pa: 0.000 0.500 0.000
O: 0.694 0.048 0.694
O: 0.069 0.664 0.069
O: 0.069 0.069 0.664
O: 0.931 0.336 0.931
O: 0.306 0.306 0.952
Pa: 0.000 0.000 0.500
O: 0.664 0.069 0.069
O: 0.694 0.694 0.048
Pa: 0.500 0.000 0.000
O: 0.931 0.931 0.336

## Properties
Formation energy (no corrections): -2675 meV/atom
Calculated volume: 395 Å³ per cell
Electronic total energy: -142.8 eV/cell

---

7.
First-principles (GGA-PBE) data for a relaxed Rb2PmPaO6 crystal, as listed in the Alexandria database.

a b c (Å): 6.346 6.346 6.349
angles (deg): 59.99 60.00 90.01
Fractional coordinates of all 10 atoms:
Pm: 0.000 0.000 0.000
O: 0.738 0.739 0.000
O: 0.739 0.739 0.522
Rb: 0.750 0.250 0.500
O: 0.261 0.739 0.000
Pa: 0.500 0.500 0.000
O: 0.261 0.261 0.478
O: 0.739 0.261 0.000
O: 0.262 0.261 0.000
Rb: 0.250 0.750 0.500

## Properties
Formation energy (no corrections): -2503 meV/atom
Calculated volume: 181 Å³ per cell
Electronic total energy: -71.0 eV/cell

---

8.
First-principles (GGA-PBE) data for a relaxed PmPaRhO6 crystal, as listed in the Alexandria database.

a b c (Å): 4.925 5.445 5.445
angles (deg): 120.00 90.00 90.00
Fractional coordinates of all 9 atoms:
O: 0.259 0.681 0.972
O: 0.741 0.681 0.709
O: 0.741 0.291 0.972
Pm: 0.500 0.667 0.333
O: 0.259 0.291 0.319
Pa: 0.000 0.333 0.667
Rh: 0.500 0.000 0.000
O: 0.741 0.028 0.319
O: 0.259 0.028 0.709

## Properties
Formation energy (no corrections): -2468 meV/atom
Calculated volume: 126 Å³ per cell
Electronic total energy: -73.6 eV/cell

---

9.
First-principles (GGA-PBE) data for a relaxed PmPaRh2O8 crystal, as listed in the Alexandria database.

a b c (Å): 6.014 6.014 6.738
angles (deg): 90.00 90.00 120.00
Fractional coordinates of all 12 atoms:
O: 0.849 0.151 0.223
O: 0.333 0.667 0.429
Rh: 0.667 0.333 0.307
O: 0.849 0.698 0.223
Pm: 0.000 0.000 0.500
Pa: 0.000 0.000 0.000
O: 0.151 0.849 0.777
Rh: 0.333 0.667 0.693
O: 0.698 0.849 0.777
O: 0.151 0.302 0.777
O: 0.302 0.151 0.223
O: 0.667 0.333 0.571

## Properties
Formation energy (no corrections): -1594 meV/atom
Calculated volume: 211 Å³ per cell
Electronic total energy: -87.7 eV/cell

---

10.
First-principles (GGA-PBE) data for a relaxed PmPaRuO6 crystal, as listed in the Alexandria database.

a b c (Å): 5.483 5.483 10.161
angles (deg): 90.00 90.00 120.00
Fractional coordinates of all 18 atoms:
O: 0.977 0.339 0.139
Pa: 0.667 0.333 0.750
O: 0.977 0.638 0.361
O: 0.023 0.661 0.861
O: 0.638 0.977 0.861
Pm: 0.000 0.000 0.000
O: 0.339 0.977 0.639
Pa: 0.333 0.667 0.250
Pm: 0.000 0.000 0.500
O: 0.362 0.339 0.361
O: 0.661 0.023 0.361
O: 0.339 0.362 0.861
O: 0.661 0.638 0.139
Ru: 0.333 0.667 0.750
Ru: 0.667 0.333 0.250
O: 0.023 0.362 0.639
O: 0.638 0.661 0.639
O: 0.362 0.023 0.139

## Properties
Formation energy (no corrections): -2610 meV/atom
Calculated volume: 265 Å³ per cell
Electronic total energy: -153.5 eV/cell

---

- calculated volume of number 4 (PmPuPaO6)?
  140 Å³ per cell